Entry 1:
The following is a GGA-PBEsol calculation of a relaxed KCa2Sb crystal, from Alexandria.

Geometry as CIF:
```
data_KCa2Sb
_chemical_formula_sum 'K2 Ca4 Sb2'
_cell_length_a 7.3192
_cell_length_b 11.4252
_cell_length_c 3.6900
_cell_angle_alpha 90.00
_cell_angle_beta 116.48
_cell_angle_gamma 90.00
_space_group_name_H-M_alt 'C 1 2/m 1'
_space_group_IT_number 12
_space_group_name_Hall '-C 2y'
loop_
_atom_site_label
_atom_site_fract_x
_atom_site_fract_y
_atom_site_fract_z
K1 0.0000 0.0000 0.0000
Ca1 0.2500 0.2500 0.5000
Sb1 0.0000 0.5000 0.0000
```

V: 276 Å³/cell
raw formation energy: -0.48 eV per formula unit
energy: -20.87 eV/cell



Entry 2:
The following is a GGA-PBEsol calculation of a relaxed TcIrW2 crystal, from Alexandria.

Geometry as CIF:
```
data_TcIrW2
_chemical_formula_sum 'Tc4 Ir4 W8'
_cell_length_a 6.2173
_cell_length_b 6.2173
_cell_length_c 6.2173
_cell_angle_alpha 90.00
_cell_angle_beta 90.00
_cell_angle_gamma 90.00
_space_group_name_H-M_alt 'F m -3 m'
_space_group_IT_number 225
_space_group_name_Hall '-F 4 2 3'
loop_
_atom_site_label
_atom_site_fract_x
_atom_site_fract_y
_atom_site_fract_z
Tc1 0.0000 0.0000 0.0000
Ir1 0.0000 0.0000 0.5000
W1 0.2500 0.2500 0.2500
```

V: 240 Å³/cell
offset from the most stable computed form: 365 meV per atom
energy: -190.12 eV/cell



Entry 3:
The following is a GGA-PBEsol calculation of a relaxed Li2BeRe crystal, from Alexandria.

Geometry as CIF:
```
data_Li2BeRe
_chemical_formula_sum 'Li2 Be1 Re1'
_cell_length_a 2.5544
_cell_length_b 2.5544
_cell_length_c 8.2820
_cell_angle_alpha 90.00
_cell_angle_beta 90.00
_cell_angle_gamma 90.00
_space_group_name_H-M_alt 'P 4 m m'
_space_group_IT_number 99
_space_group_name_Hall 'P 4 -2'
loop_
_atom_site_label
_atom_site_fract_x
_atom_site_fract_y
_atom_site_fract_z
Li1 0.0000 0.0000 0.0000
Li2 0.5000 0.5000 0.3048
Be1 0.5000 0.5000 0.7729
Re1 0.0000 0.0000 0.5634
```

V: 54 Å³/cell
energy: -20.44 eV/cell



Entry 4:
The following is a GGA-PBEsol calculation of a relaxed MgSc5 crystal, from Alexandria.

Geometry as CIF:
```
data_MgSc5
_chemical_formula_sum 'Mg2 Sc10'
_cell_length_a 11.6889
_cell_length_b 3.2506
_cell_length_c 7.6277
_cell_angle_alpha 90.00
_cell_angle_beta 104.20
_cell_angle_gamma 90.00
_space_group_name_H-M_alt 'C 1 m 1'
_space_group_IT_number 8
_space_group_name_Hall 'C -2y'
loop_
_atom_site_label
_atom_site_fract_x
_atom_site_fract_y
_atom_site_fract_z
Mg1 0.0000 0.0000 0.0000
Sc1 0.0633 0.0000 0.6058
Sc2 0.1718 0.5000 0.3368
Sc3 0.2204 0.5000 0.9427
Sc4 0.3385 0.0000 0.6683
Sc5 0.3887 0.0000 0.2785
```

V: 281 Å³/cell
offset from the most stable computed form: 0 meV per atom
energy: -69.37 eV/cell



Entry 5:
The following is a GGA-PBEsol calculation of a relaxed PdWI2N crystal, from Alexandria.

Geometry as CIF:
```
data_PdWI2N
_chemical_formula_sum 'Pd1 W1 I2 N1'
_cell_length_a 5.5222
_cell_length_b 5.5222
_cell_length_c 3.6057
_cell_angle_alpha 90.00
_cell_angle_beta 90.00
_cell_angle_gamma 90.00
_space_group_name_H-M_alt 'P 4/m m m'
_space_group_IT_number 123
_space_group_name_Hall '-P 4 2'
loop_
_atom_site_label
_atom_site_fract_x
_atom_site_fract_y
_atom_site_fract_z
Pd1 0.0000 0.0000 0.0000
W1 0.5000 0.5000 0.5000
I1 0.0000 0.5000 0.0000
N1 0.0000 0.0000 0.5000
```

V: 110 Å³/cell
raw formation energy: 7.65 eV per formula unit
energy: -24.18 eV/cell



Entry 6:
The following is a GGA-PBEsol calculation of a relaxed CuTc2PtF crystal, from Alexandria.

Geometry as CIF:
```
data_CuTc2PtF
_chemical_formula_sum 'Cu1 Tc2 Pt1 F1'
_cell_length_a 3.9423
_cell_length_b 3.9423
_cell_length_c 4.2692
_cell_angle_alpha 90.00
_cell_angle_beta 90.00
_cell_angle_gamma 90.00
_space_group_name_H-M_alt 'P 4/m m m'
_space_group_IT_number 123
_space_group_name_Hall '-P 4 2'
loop_
_atom_site_label
_atom_site_fract_x
_atom_site_fract_y
_atom_site_fract_z
Cu1 0.0000 0.0000 0.0000
Tc1 0.0000 0.5000 0.5000
Pt1 0.5000 0.5000 0.0000
F1 0.0000 0.0000 0.5000
```

V: 66 Å³/cell
raw formation energy: 3.07 eV per formula unit
energy: -32.68 eV/cell